Material: SiSb2ICl
Method: DFT, GGA-PBE
State: relaxed

Cell lengths 5.304, 5.304, 5.446 Å; angles 90.00, 90.00, 90.00 degrees
Space group P4/mmm (No. 123)
Unique sites:
Si (0.000, 0.000, 0.000) [1 per cell]
Sb (0.000, 0.500, 0.000) [2 per cell]
I (0.000, 0.000, 0.500) [1 per cell]
Cl (0.500, 0.500, 0.500) [1 per cell]

Output
As for the uncorrected formation energy: 2.25 eV/f.u. The crystal system is tetragonal. The total moment is 0.0 μB/cell. For the distance to the lowest polymorph of the same formula, the calculation gives 0.0 kJ per mole of atoms.